[1]
DFT (GGA-PBE) results for a geometry-optimized ZnGeTe3 structure. Values from VASP.

```
&SYSTEM
  ibrav = 0, nat = 10, ntyp = 3
/
ATOMIC_SPECIES
Te 127.60 Te.upf
Zn 65.41 Zn.upf
Ge 72.64 Ge.upf
ATOMIC_POSITIONS angstrom
Te 0.000 4.368 6.468
Te 0.000 1.866 0.304
Te 2.065 2.145 4.125
Te 2.065 5.258 2.488
Te 0.000 1.254 8.105
Te 2.065 4.646 10.289
Zn 0.000 4.471 0.894
Zn 2.065 2.042 9.699
Ge 0.000 1.028 2.829
Ge 2.065 5.484 7.765
CELL_PARAMETERS angstrom
4.131 0.000 0.000
-2.065 6.836 -0.953
0.000 -0.323 11.546
```

Values from the calculation:
polymorph energy (0 for the lowest one)	0	meV/atom

***

[2]
DFT (GGA-PBE) results for a geometry-optimized ScCoI3 structure. Values from VASP.

```
&SYSTEM
  ibrav = 0, nat = 5, ntyp = 3
/
ATOMIC_SPECIES
I 126.90 I.upf
Co 58.93 Co.upf
Sc 44.96 Sc.upf
ATOMIC_POSITIONS angstrom
I 0.000 0.000 2.871
I 0.000 2.871 0.000
I 2.871 0.000 0.000
Co 2.871 2.871 2.871
Sc 0.000 0.000 0.000
CELL_PARAMETERS angstrom
5.743 0.000 0.000
0.000 5.743 0.000
0.000 0.000 5.743
```

Values from the calculation:
polymorph energy (0 for the lowest one)	0	meV/atom

***

[3]
DFT (GGA-PBE) results for a geometry-optimized MoAs2Se structure. Values from VASP.

```
&SYSTEM
  ibrav = 0, nat = 4, ntyp = 3
/
ATOMIC_SPECIES
Se 78.96 Se.upf
As 74.92 As.upf
Mo 95.94 Mo.upf
ATOMIC_POSITIONS angstrom
Se 20.504 3.652 2.153
As 6.418 1.143 0.674
As 25.909 4.615 2.721
Mo 13.331 2.375 1.400
CELL_PARAMETERS angstrom
9.198 0.001 0.001
8.633 3.175 0.001
8.633 1.538 2.778
```

Values from the calculation:
raw total energy	-5.96	eV per atom

***

[4]
DFT (GGA-PBE) results for a geometry-optimized LiSb2PbS4 structure. Values from VASP.

```
&SYSTEM
  ibrav = 0, nat = 8, ntyp = 4
/
ATOMIC_SPECIES
Sb 121.76 Sb.upf
S 32.06 S.upf
Pb 207.20 Pb.upf
Li 6.94 Li.upf
ATOMIC_POSITIONS angstrom
Sb -0.511 3.482 2.290
Sb 3.512 -0.220 2.290
S 1.143 4.973 0.855
S 4.861 1.551 0.855
S -1.335 -1.451 2.444
S 1.335 1.451 2.444
Pb 0.000 0.000 0.356
Li 3.002 3.262 0.165
CELL_PARAMETERS angstrom
7.025 -0.440 0.000
-1.021 6.964 0.000
-3.002 -3.262 3.899
```

Values from the calculation:
raw total energy	-4.23	eV per atom

***

[5]
DFT (GGA-PBE) results for a geometry-optimized SmDyYHo2 structure. Values from VASP.

```
&SYSTEM
  ibrav = 0, nat = 10, ntyp = 4
/
ATOMIC_SPECIES
Sm 150.36 Sm.upf
Ho 164.93 Ho.upf
Y 88.91 Y.upf
Dy 162.50 Dy.upf
ATOMIC_POSITIONS angstrom
Sm 4.173 0.494 3.061
Sm -0.378 0.496 6.243
Ho 5.601 -1.296 0.442
Ho 2.515 -0.582 0.199
Ho 4.992 -2.839 3.629
Ho 1.907 -2.125 3.385
Y 0.210 1.930 3.000
Y 3.585 -0.941 6.304
Dy -0.890 -2.193 4.843
Dy 4.685 3.182 4.461
CELL_PARAMETERS angstrom
-1.217 -3.086 6.373
8.116 -1.878 0.641
-3.104 5.953 2.290
```

Values from the calculation:
E_form	37.3	kJ/mol of atoms

***

[6]
DFT (GGA-PBE) results for a geometry-optimized TiNi7Sn2Pt2 structure. Values from VASP.

```
&SYSTEM
  ibrav = 0, nat = 12, ntyp = 4
/
ATOMIC_SPECIES
Sn 118.71 Sn.upf
Pt 195.08 Pt.upf
Ni 58.69 Ni.upf
Ti 47.87 Ti.upf
ATOMIC_POSITIONS angstrom
Sn -6.945 -0.837 0.983
Sn -8.236 3.174 2.826
Pt -10.795 2.061 2.867
Pt -4.386 0.277 0.941
Ni -11.633 4.515 2.652
Ni -1.604 -1.837 -0.428
Ni -3.977 -1.275 -1.107
Ni -8.817 0.567 1.897
Ni -11.204 3.613 4.915
Ni -6.364 1.771 1.912
Ni -3.548 -2.177 1.157
Ti 0.000 0.000 0.000
CELL_PARAMETERS angstrom
-2.033 -0.934 -2.692
-1.175 -2.739 1.836
-11.973 6.011 4.665
```

Values from the calculation:
E_form	-20.0	kJ/mol of atoms

***

[7]
DFT (GGA-PBE) results for a geometry-optimized SrNiTe structure. Values from VASP.

```
&SYSTEM
  ibrav = 0, nat = 6, ntyp = 3
/
ATOMIC_SPECIES
Ni 58.69 Ni.upf
Sr 87.62 Sr.upf
Te 127.60 Te.upf
ATOMIC_POSITIONS angstrom
Ni 1.120 0.910 3.394
Ni 1.955 5.507 4.584
Sr 3.407 2.639 4.888
Sr 0.380 4.707 7.362
Te 3.299 -0.408 3.168
Te 3.517 5.686 6.604
CELL_PARAMETERS angstrom
-2.312 2.990 6.742
3.742 -1.142 1.793
3.372 4.211 0.822
```

Values from the calculation:
raw total energy	-4.28	eV per atom

***

[8]
DFT (GGA-PBE) results for a geometry-optimized Ac2CoGe3 structure. Values from VASP.

```
&SYSTEM
  ibrav = 0, nat = 6, ntyp = 3
/
ATOMIC_SPECIES
Ge 72.64 Ge.upf
Ac 227.00 Ac.upf
Co 58.93 Co.upf
ATOMIC_POSITIONS angstrom
Ge -1.601 -1.464 -1.582
Ge -1.067 -5.376 -1.462
Ge -3.348 -5.694 -0.192
Ac -1.357 -3.284 1.079
Ac 1.703 -1.080 -0.811
Co -0.200 -3.276 -2.152
CELL_PARAMETERS angstrom
-2.163 -0.417 -3.989
3.478 -1.988 -1.678
-2.704 -6.543 2.150
```

Values from the calculation:
polymorph energy (0 for the lowest one)	27	meV/atom
E_form	-58.5	kJ/mol of atoms

***

Which formula does entry 1 have?
ZnGeTe3